1.
LiTa2N3: optimized geometry, GGA-PBE.

a = 3.070 Å, b = 4.261 Å, c = 9.296 Å
α = 90.00°, β = 90.00°, γ = 90.00°
Space group Immm (No. 71)
Symmetry-distinct sites (fractional):
Li 0.000 0.000 0.000 x2
Ta 0.000 0.000 0.340 x4
N 0.000 0.500 0.000 x2
N 0.000 0.500 0.331 x4

Summary:
- Volume: 10.135 Å³/atom
- Fermi-level density of states: 1.24 states/eV/f.u.
- Formation energy from raw total energies: -110 kJ/mol of atoms
- Size of the total moment: 0.0 μB per formula unit

***

2.
Li2Ta3N5: optimized geometry, GGA-PBE.

a = 9.860 Å, b = 4.233 Å, c = 9.690 Å
α = 90.00°, β = 91.07°, γ = 90.00°
Space group C2/m (No. 12)
Symmetry-distinct sites (fractional):
Li 0.043 0.000 0.347 x4
Li 0.147 0.000 0.048 x4
Ta 0.055 0.500 0.855 x4
Ta 0.144 0.500 0.546 x4
Ta 0.238 0.500 0.248 x4
N 0.046 0.500 0.345 x4
N 0.070 0.000 0.844 x4
N 0.136 0.500 0.054 x4
N 0.153 0.000 0.549 x4
N 0.250 0.000 0.249 x4

Summary:
- Volume: 10.109 Å³/atom
- Fermi-level density of states: 1.40 states/eV/f.u.
- Formation energy from raw total energies: -108 kJ/mol of atoms
- Size of the total moment: 0.0 μB per formula unit

***

3.
Li3Ta2N4: optimized geometry, GGA-PBE.

a = 8.135 Å, b = 8.039 Å, c = 6.777 Å
α = 90.00°, β = 92.84°, γ = 90.00°
Space group C2/c (No. 15)
Symmetry-distinct sites (fractional):
Li 0.000 0.187 0.250 x4
Li 0.115 0.447 0.388 x8
Ta 0.131 0.124 0.916 x8
N 0.114 0.336 0.064 x8
N 0.134 0.055 0.619 x8

Summary:
- Volume: 12.296 Å³/atom
- Fermi-level density of states: 0.90 states/eV/f.u.
- Formation energy from raw total energies: -84 kJ/mol of atoms
- Size of the total moment: 0.0 μB per formula unit

***

4.
LiTaN2: optimized geometry, GGA-PBE.

a = 3.0989 Å, b = 3.0989 Å, c = 15.3114 Å
α = 90.00°, β = 90.00°, γ = 120.00°
Space group R-3m (No. 166, hexagonal axes)
Symmetry-distinct sites (fractional):
Li 0.0000 0.0000 0.0000 x3
Ta 0.0000 0.0000 0.5000 x3
N 0.0000 0.0000 0.2394 x6

Summary:
- Volume: 10.611 Å³/atom
- Energy relative to the lowest polymorph listed for this composition: 35.0 meV per atom
- Formation energy from raw total energies: -101 kJ/mol of atoms
- Size of the total moment: 0.0 μB per formula unit

***

5.
LiTaN2: optimized geometry, GGA-PBE.

a = 3.0296 Å, b = 3.0296 Å, c = 10.5463 Å
α = 90.00°, β = 90.00°, γ = 120.00°
Space group P6_3/mmc (No. 194)
Symmetry-distinct sites (fractional):
Li 0.0000 0.0000 0.0000 x2
Ta 0.3333 0.6667 0.2500 x2
N 0.3333 0.6667 0.6336 x4

Summary:
- Volume: 10.479 Å³/atom
- Fermi-level density of states: 1.18 states/eV/f.u.
- Energy relative to the lowest polymorph listed for this composition: 320.8 meV per atom
- Formation energy from raw total energies: -73 kJ/mol of atoms
- Size of the total moment: 0.0 μB per formula unit

***

6.
LiTa3N: optimized geometry, GGA-PBE.

a = 4.244 Å, b = 4.244 Å, c = 4.244 Å
α = 90.00°, β = 90.00°, γ = 90.00°
Space group Pm-3m (No. 221)
Symmetry-distinct sites (fractional):
Li 0.000 0.000 0.000 x1
Ta 0.000 0.500 0.500 x3
N 0.500 0.500 0.500 x1

Summary:
- Volume: 15.289 Å³/atom
- Fermi-level density of states: 4.99 states/eV/f.u.
- Energy relative to the lowest polymorph listed for this composition: 0.0 meV per atom
- Formation energy from raw total energies: -16 kJ/mol of atoms
- Size of the total moment: 0.0 μB per formula unit

***

7.
LiTaN2: optimized geometry, GGA-PBE.

a = 6.034 Å, b = 12.035 Å, c = 5.408 Å
α = 90.00°, β = 122.05°, γ = 90.00°
Space group C2/c (No. 15)
Symmetry-distinct sites (fractional):
Li 0.000 0.055 0.250 x4
Li 0.000 0.179 0.750 x4
Ta 0.000 0.305 0.250 x4
Ta 0.000 0.434 0.750 x4
N 0.213 0.437 0.208 x8
N 0.232 0.311 0.713 x8

Summary:
- Volume: 10.403 Å³/atom
- Energy relative to the lowest polymorph listed for this composition: 2.6 meV per atom
- Formation energy from raw total energies: -104 kJ/mol of atoms
- Size of the total moment: 0.0 μB per formula unit

***

8.
Li6TaN4: optimized geometry, GGA-PBE.

a = 6.804 Å, b = 6.804 Å, c = 4.976 Å
α = 90.00°, β = 90.00°, γ = 90.00°
Space group P4_2/nmc (No. 137, origin choice 2)
Symmetry-distinct sites (fractional):
Li 0.040 0.540 0.250 x8
Li 0.250 0.250 0.179 x4
Ta 0.250 0.750 0.750 x2
N 0.003 0.750 0.547 x8

Summary:
- Volume: 10.471 Å³/atom
- Fermi-level density of states: 5.72 states/eV/f.u.
- Formation energy from raw total energies: -68 kJ/mol of atoms
- Size of the total moment: 1.0 μB per formula unit

***

9.
LiTaN2: optimized geometry, GGA-PBE.

a = 5.215 Å, b = 5.215 Å, c = 5.215 Å
α = 90.00°, β = 90.00°, γ = 90.00°
Space group Fm-3m (No. 225)
Symmetry-distinct sites (fractional):
Li 0.000 0.000 0.000 x4
Ta 0.000 0.000 0.500 x4
N 0.250 0.250 0.250 x8

Summary:
- Volume: 8.867 Å³/atom
- Fermi-level density of states: 0.30 states/eV/f.u.
- Energy relative to the lowest polymorph listed for this composition: 778.2 meV per atom
- Formation energy from raw total energies: -29 kJ/mol of atoms
- Size of the total moment: 0.0 μB per formula unit

***

10.
LiTaN2: optimized geometry, GGA-PBE.

a = 3.1540 Å, b = 3.1540 Å, c = 17.6059 Å
α = 90.00°, β = 90.00°, γ = 120.00°
Space group R-3m (No. 166, hexagonal axes)
Symmetry-distinct sites (fractional):
Li 0.0000 0.0000 0.0000 x3
Ta 0.0000 0.0000 0.5000 x3
N 0.0000 0.0000 0.1061 x6

Summary:
- Volume: 12.640 Å³/atom
- Fermi-level density of states: 0.00 states/eV/f.u.
- Energy relative to the lowest polymorph listed for this composition: 200.6 meV per atom
- Formation energy from raw total energies: -85 kJ/mol of atoms
- Size of the total moment: 0.0 μB per formula unit

***

11.
LiTaN2: optimized geometry, GGA-PBE.

a = 3.0916 Å, b = 3.0916 Å, c = 16.0766 Å
α = 90.00°, β = 90.00°, γ = 120.00°
Space group R3m (No. 160, hexagonal axes)
Symmetry-distinct sites (fractional):
Li 0.0000 0.0000 0.0000 x3
Ta 0.0000 0.0000 0.1800 x3
N 0.0000 0.0000 0.5854 x3
N 0.0000 0.0000 0.7791 x3

Summary:
- Volume: 11.089 Å³/atom
- Energy relative to the lowest polymorph listed for this composition: 104.1 meV per atom
- Formation energy from raw total energies: -94 kJ/mol of atoms
- Size of the total moment: 0.0 μB per formula unit

***

12.
LiTaN2: optimized geometry, GGA-PBE.

a = 4.831 Å, b = 4.831 Å, c = 9.171 Å
α = 90.00°, β = 90.00°, γ = 90.00°
Space group I-42d (No. 122)
Symmetry-distinct sites (fractional):
Li 0.000 0.000 0.000 x4
Ta 0.000 0.000 0.500 x4
N 0.212 0.250 0.625 x8

Summary:
- Volume: 13.378 Å³/atom
- Fermi-level density of states: 0.00 states/eV/f.u.
- Energy relative to the lowest polymorph listed for this composition: 79.2 meV per atom
- Formation energy from raw total energies: -96 kJ/mol of atoms
- Size of the total moment: 0.0 μB per formula unit

***

13.
LiTbTa2N4: optimized geometry, GGA-PBE.

a = 4.517 Å, b = 4.517 Å, c = 8.763 Å
α = 90.00°, β = 90.00°, γ = 90.00°
Space group I4/mmm (No. 139)
Symmetry-distinct sites (fractional):
Li 0.000 0.000 0.000 x2
Tb 0.000 0.000 0.500 x2
Ta 0.000 0.500 0.250 x4
N 0.000 0.000 0.238 x4
N 0.000 0.500 0.000 x4

Summary:
- Volume: 11.177 Å³/atom
- Fermi-level density of states: 2.24 states/eV/f.u.
- Formation energy from raw total energies: -101 kJ/mol of atoms
- Size of the total moment: 0.0 μB per formula unit

***

14.
Li2TbTa3N6: optimized geometry, GGA-PBE.

a = 5.382 Å, b = 9.337 Å, c = 5.687 Å
α = 90.00°, β = 108.09°, γ = 90.00°
Space group C2/m (No. 12)
Symmetry-distinct sites (fractional):
Li 0.000 0.166 0.000 x4
Tb 0.000 0.500 0.000 x2
Ta 0.000 0.000 0.500 x2
Ta 0.000 0.329 0.500 x4
N 0.239 0.168 0.722 x8
N 0.241 0.500 0.718 x4

Summary:
- Volume: 11.321 Å³/atom
- Fermi-level density of states: 2.41 states/eV/f.u.
- Formation energy from raw total energies: -115 kJ/mol of atoms
- Size of the total moment: 0.0 μB per formula unit

***

15.
LiTbTaN3: optimized geometry, GGA-PBE.

a = 6.740 Å, b = 3.185 Å, c = 6.785 Å
α = 90.00°, β = 103.84°, γ = 90.00°
Space group P2_1/m (No. 11)
Symmetry-distinct sites (fractional):
Li 0.077 0.250 0.086 x2
Tb 0.207 0.250 0.735 x2
Ta 0.326 0.750 0.318 x2
N 0.134 0.250 0.368 x2
N 0.218 0.750 0.020 x2
N 0.447 0.750 0.664 x2

Summary:
- Volume: 11.785 Å³/atom
- Formation energy from raw total energies: -107 kJ/mol of atoms
- Size of the total moment: 0.0 μB per formula unit

***

16.
LiTaTcN3: optimized geometry, GGA-PBE.

a = 5.488 Å, b = 3.010 Å, c = 7.932 Å
α = 90.00°, β = 102.85°, γ = 90.00°
Space group P2_1/m (No. 11)
Symmetry-distinct sites (fractional):
Li 0.105 0.250 0.152 x2
Ta 0.261 0.750 0.543 x2
Tc 0.392 0.250 0.870 x2
N 0.061 0.250 0.653 x2
N 0.247 0.750 0.000 x2
N 0.478 0.750 0.356 x2

Summary:
- Volume: 10.645 Å³/atom
- Fermi-level density of states: 0.84 states/eV/f.u.
- Formation energy from raw total energies: -66 kJ/mol of atoms
- Size of the total moment: 0.0 μB per formula unit

***

17.
Li3Ta2TcN6: optimized geometry, GGA-PBE.

a = 5.294 Å, b = 9.165 Å, c = 5.418 Å
α = 90.00°, β = 109.07°, γ = 90.00°
Space group C2/m (No. 12)
Symmetry-distinct sites (fractional):
Li 0.000 0.000 0.000 x2
Li 0.000 0.338 0.000 x4
Ta 0.000 0.167 0.500 x4
Tc 0.000 0.500 0.500 x2
N 0.240 0.000 0.723 x4
N 0.241 0.333 0.722 x8

Summary:
- Volume: 10.352 Å³/atom
- Fermi-level density of states: 3.80 states/eV/f.u.
- Formation energy from raw total energies: -67 kJ/mol of atoms
- Size of the total moment: 2.0 μB per formula unit

***

18.
LiTaTeN2: optimized geometry, GGA-PBE.

a = 3.910 Å, b = 3.910 Å, c = 4.561 Å
α = 90.00°, β = 90.00°, γ = 90.00°
Space group P4/mmm (No. 123)
Symmetry-distinct sites (fractional):
Li 0.000 0.000 0.000 x1
Ta 0.500 0.500 0.500 x1
Te 0.000 0.000 0.500 x1
N 0.000 0.500 0.000 x2

Summary:
- Volume: 13.944 Å³/atom
- Fermi-level density of states: 4.93 states/eV/f.u.
- Energy relative to the lowest polymorph listed for this composition: 1681.4 meV per atom
- Formation energy from raw total energies: 159 kJ/mol of atoms
- Size of the total moment: 0.0 μB per formula unit

***

19.
LiTaTeN2: optimized geometry, GGA-PBE.

a = 4.024 Å, b = 4.024 Å, c = 5.824 Å
α = 90.00°, β = 90.00°, γ = 90.00°
Space group P4/mmm (No. 123)
Symmetry-distinct sites (fractional):
Li 0.000 0.000 0.000 x1
Ta 0.500 0.500 0.500 x1
Te 0.500 0.500 0.000 x1
N 0.000 0.500 0.500 x2

Summary:
- Volume: 18.865 Å³/atom
- Fermi-level density of states: 3.25 states/eV/f.u.
- Energy relative to the lowest polymorph listed for this composition: 0.0 meV per atom
- Formation energy from raw total energies: -3 kJ/mol of atoms
- Size of the total moment: 0.8 μB per formula unit

***

20.
LiThTa2N4: optimized geometry, GGA-PBE.

a = 4.611 Å, b = 4.611 Å, c = 9.111 Å
α = 90.00°, β = 90.00°, γ = 90.00°
Space group I4/mmm (No. 139)
Symmetry-distinct sites (fractional):
Li 0.000 0.000 0.000 x2
Th 0.000 0.000 0.500 x2
Ta 0.000 0.500 0.250 x4
N 0.000 0.000 0.233 x4
N 0.000 0.500 0.000 x4

Summary:
- Volume: 12.108 Å³/atom
- Fermi-level density of states: 3.29 states/eV/f.u.
- Formation energy from raw total energies: -83 kJ/mol of atoms
- Size of the total moment: 0.0 μB per formula unit

***

21.
LiTh2TaN5: optimized geometry, GGA-PBE.

a = 3.364 Å, b = 13.652 Å, c = 10.228 Å
α = 90.00°, β = 90.00°, γ = 90.00°
Space group Cmc2_1 (No. 36)
Symmetry-distinct sites (fractional):
Li 0.000 0.032 0.000 x4
Th 0.000 0.370 0.836 x4
Th 0.000 0.392 0.212 x4
Ta 0.000 0.301 0.538 x4
N 0.000 0.001 0.304 x4
N 0.000 0.143 0.530 x4
N 0.000 0.189 0.911 x4
N 0.000 0.217 0.185 x4
N 0.000 0.439 0.599 x4

Summary:
- Volume: 13.049 Å³/atom
- Fermi-level density of states: 4.82 states/eV/f.u.
- Formation energy from raw total energies: -106 kJ/mol of atoms
- Size of the total moment: 0.6 μB per formula unit

***

22.
Li3Ta2TiN6: optimized geometry, GGA-PBE.

a = 5.331 Å, b = 9.233 Å, c = 5.328 Å
α = 90.00°, β = 109.35°, γ = 90.00°
Space group C2/m (No. 12)
Symmetry-distinct sites (fractional):
Li 0.000 0.000 0.000 x2
Li 0.000 0.338 0.000 x4
Ta 0.000 0.167 0.500 x4
Ti 0.000 0.500 0.500 x2
N 0.239 0.334 0.720 x8
N 0.241 0.000 0.720 x4

Summary:
- Volume: 10.310 Å³/atom
- Fermi-level density of states: 4.78 states/eV/f.u.
- Formation energy from raw total energies: -96 kJ/mol of atoms
- Size of the total moment: 0.0 μB per formula unit

***

no.,final energy (eV/atom)
1,-9.569
2,-9.216
3,-7.847
4,-8.648
5,-8.362
6,-9.322
7,-8.681
8,-5.858
9,-7.905
10,-8.483
11,-8.579
12,-8.604
13,-8.990
14,-9.018
15,-8.339
16,-8.867
17,-8.178
18,-5.059
19,-6.741
20,-9.148
21,-8.900
22,-8.267